No. 1
YHo2Zn: relaxed, PBE.

a = 3.558 Å, b = 3.558 Å, c = 8.607 Å
α = 90.00°, β = 90.00°, γ = 90.00°
Fractional positions:
Y 0.000 0.000 0.000
Ho 0.500 0.500 0.296
Ho 0.500 0.500 0.704
Zn 0.000 0.000 0.500

Density = 7.38 g/cm3
Space-group type = No. 123
Polymorph energy (0 for the lowest one) = 0.00 eV per formula unit
Energy of formation from the pure elements = -0.7 eV/f.u.

***

No. 2
YHo2Zn2: relaxed, PBE.

a = 3.595 Å, b = 5.139 Å, c = 13.286 Å
α = 90.00°, β = 97.75°, γ = 90.00°
Fractional positions:
Y 0.143 0.250 0.287
Y 0.857 0.750 0.713
Ho 0.046 0.750 0.092
Ho 0.233 0.750 0.465
Ho 0.767 0.250 0.535
Ho 0.954 0.250 0.908
Zn 0.360 0.250 0.720
Zn 0.452 0.750 0.904
Zn 0.548 0.250 0.096
Zn 0.640 0.750 0.280

Density = 7.50 g/cm3
Space-group type = No. 11
Energy of formation from the pure elements = -1.4 eV/f.u.

***

No. 3
Y2HoZn9: relaxed, PBE.

a = 9.122 Å, b = 9.122 Å, c = 9.122 Å
α = 34.69°, β = 34.69°, γ = 34.69°
Fractional positions:
Y 0.139 0.139 0.139
Y 0.861 0.861 0.861
Ho 0.000 0.000 0.000
Zn 0.076 0.585 0.585
Zn 0.335 0.335 0.335
Zn 0.415 0.415 0.924
Zn 0.415 0.924 0.415
Zn 0.500 0.500 0.500
Zn 0.585 0.076 0.585
Zn 0.585 0.585 0.076
Zn 0.665 0.665 0.665
Zn 0.924 0.415 0.415

Density = 7.05 g/cm3
Space-group type = No. 166
Energy of formation from the pure elements = -3.8 eV/f.u.

***

No. 4
Y3HoZn2: relaxed, PBE.

a = 5.036 Å, b = 9.100 Å, c = 6.769 Å
α = 90.00°, β = 90.00°, γ = 90.00°
Fractional positions:
Y 0.000 0.057 0.000
Y 0.000 0.328 0.348
Y 0.000 0.672 0.848
Y 0.000 0.943 0.500
Y 0.500 0.175 0.682
Y 0.500 0.825 0.182
Ho 0.500 0.442 0.031
Ho 0.500 0.558 0.531
Zn 0.000 0.350 0.790
Zn 0.000 0.650 0.290
Zn 0.500 0.150 0.241
Zn 0.500 0.850 0.741

Density = 6.02 g/cm3
Space-group type = No. 26
Polymorph energy (0 for the lowest one) = 0.00 eV per formula unit
Energy of formation from the pure elements = -1.5 eV/f.u.

***

No. 5
YHo2Zn: relaxed, PBE.

a = 4.729 Å, b = 4.729 Å, c = 4.752 Å
α = 90.00°, β = 90.00°, γ = 90.00°
Fractional positions:
Y 0.000 0.000 0.000
Ho 0.000 0.500 0.500
Ho 0.500 0.000 0.500
Zn 0.500 0.500 0.000

Density = 7.57 g/cm3
Space-group type = No. 123
Polymorph energy (0 for the lowest one) = 0.55 eV per formula unit
Energy of formation from the pure elements = -0.1 eV/f.u.

***

No. 6
YHoZn10: relaxed, PBE.

a = 4.210 Å, b = 5.315 Å, c = 9.158 Å
α = 90.00°, β = 90.00°, γ = 90.00°
Fractional positions:
Y 0.000 0.000 0.000
Ho 0.000 0.500 0.500
Zn 0.000 0.000 0.335
Zn 0.000 0.000 0.665
Zn 0.000 0.500 0.167
Zn 0.000 0.500 0.833
Zn 0.500 0.000 0.500
Zn 0.500 0.250 0.251
Zn 0.500 0.250 0.749
Zn 0.500 0.500 0.000
Zn 0.500 0.750 0.251
Zn 0.500 0.750 0.749

Density = 7.36 g/cm3
Space-group type = No. 47
Energy of formation from the pure elements = -3.3 eV/f.u.

***

No. 7
Y3HoZn2: relaxed, PBE.

a = 3.578 Å, b = 3.578 Å, c = 12.183 Å
α = 90.00°, β = 90.00°, γ = 90.00°
Fractional positions:
Y 0.000 0.000 0.000
Y 0.000 0.000 0.291
Y 0.000 0.000 0.709
Ho 0.500 0.500 0.500
Zn 0.500 0.500 0.145
Zn 0.500 0.500 0.855

Density = 5.99 g/cm3
Space-group type = No. 123
Polymorph energy (0 for the lowest one) = 0.08 eV per formula unit
Energy of formation from the pure elements = -1.4 eV/f.u.

***

No. 8
YHo2Zn: relaxed, PBE.

a = 11.455 Å, b = 11.455 Å, c = 11.455 Å
α = 17.40°, β = 17.40°, γ = 17.40°
Fractional positions:
Y 0.000 0.000 0.000
Ho 0.101 0.101 0.101
Ho 0.899 0.899 0.899
Zn 0.500 0.500 0.500

Density = 6.86 g/cm3
Space-group type = No. 166
Polymorph energy (0 for the lowest one) = 1.27 eV per formula unit
Energy of formation from the pure elements = 0.6 eV/f.u.

***

No. 9
YHo2Zn9: relaxed, PBE.

a = 9.105 Å, b = 9.105 Å, c = 9.105 Å
α = 34.71°, β = 34.71°, γ = 34.71°
Fractional positions:
Y 0.000 0.000 0.000
Ho 0.140 0.140 0.140
Ho 0.860 0.860 0.860
Zn 0.077 0.586 0.586
Zn 0.335 0.335 0.335
Zn 0.414 0.414 0.923
Zn 0.414 0.923 0.414
Zn 0.500 0.500 0.500
Zn 0.586 0.077 0.586
Zn 0.586 0.586 0.077
Zn 0.665 0.665 0.665
Zn 0.923 0.414 0.414

Density = 7.66 g/cm3
Space-group type = No. 166
Energy of formation from the pure elements = -3.8 eV/f.u.

***

No. 10
YHo2Zn: relaxed, PBE.

a = 6.499 Å, b = 6.499 Å, c = 6.499 Å
α = 147.34°, β = 132.35°, γ = 58.97°
Fractional positions:
Y 0.000 0.000 0.000
Ho 0.288 0.788 0.500
Ho 0.712 0.212 0.500
Zn 0.500 0.500 0.000

Density = 7.40 g/cm3
Space-group type = No. 71
Polymorph energy (0 for the lowest one) = 0.01 eV per formula unit
Energy of formation from the pure elements = -0.6 eV/f.u.

***

No. 11
YHo5Zn4: relaxed, PBE.

a = 3.554 Å, b = 3.554 Å, c = 19.283 Å
α = 90.00°, β = 90.00°, γ = 90.00°
Fractional positions:
Y 0.000 0.000 0.000
Ho 0.500 0.500 0.133
Ho 0.500 0.500 0.317
Ho 0.500 0.500 0.500
Ho 0.500 0.500 0.683
Ho 0.500 0.500 0.867
Zn 0.000 0.000 0.225
Zn 0.000 0.000 0.407
Zn 0.000 0.000 0.593
Zn 0.000 0.000 0.775

Density = 8.01 g/cm3
Space-group type = No. 123
Energy of formation from the pure elements = -2.7 eV/f.u.

***

No. 12
Y4Ho3Zn: relaxed, PBE.

a = 3.557 Å, b = 3.557 Å, c = 18.710 Å
α = 90.00°, β = 90.00°, γ = 90.00°
Fractional positions:
Y 0.000 0.000 0.096
Y 0.000 0.000 0.366
Y 0.000 0.000 0.634
Y 0.000 0.000 0.904
Ho 0.500 0.500 0.233
Ho 0.500 0.500 0.500
Ho 0.500 0.500 0.767
Zn 0.500 0.500 0.000

Density = 6.43 g/cm3
Space-group type = No. 123
Energy of formation from the pure elements = -0.5 eV/f.u.

***

No. 13
Y2HoZn3: relaxed, PBE.

a = 5.050 Å, b = 5.050 Å, c = 6.194 Å
α = 90.00°, β = 90.00°, γ = 120.00°
Fractional positions:
Y 0.333 0.667 0.168
Y 0.667 0.333 0.832
Ho 0.000 0.000 0.500
Zn 0.000 0.000 0.000
Zn 0.333 0.667 0.666
Zn 0.667 0.333 0.334

Density = 6.54 g/cm3
Space-group type = No. 164
Energy of formation from the pure elements = -2.1 eV/f.u.

***

No. 14
YHo2Zn: relaxed, PBE.

a = 10.383 Å, b = 10.383 Å, c = 10.383 Å
α = 19.97°, β = 19.97°, γ = 19.97°
Fractional positions:
Y 0.000 0.000 0.000
Ho 0.572 0.572 0.572
Ho 0.761 0.761 0.761
Zn 0.166 0.166 0.166

Density = 7.04 g/cm3
Space-group type = No. 160
Polymorph energy (0 for the lowest one) = 0.41 eV per formula unit
Energy of formation from the pure elements = -0.2 eV/f.u.

***

No. 15
Y3Ho2Zn2: relaxed, PBE.

a = 6.723 Å, b = 6.723 Å, c = 9.026 Å
α = 114.81°, β = 114.81°, γ = 31.61°
Fractional positions:
Y 0.000 0.000 0.000
Y 0.110 0.110 0.441
Y 0.890 0.890 0.559
Ho 0.350 0.350 0.188
Ho 0.650 0.650 0.812
Zn 0.320 0.320 0.775
Zn 0.680 0.680 0.225

Density = 6.28 g/cm3
Space-group type = No. 12
Polymorph energy (0 for the lowest one) = 0.00 eV per formula unit
Energy of formation from the pure elements = -1.2 eV/f.u.

***

No. 16
YHo3Zn4: relaxed, PBE.

a = 5.023 Å, b = 5.023 Å, c = 7.154 Å
α = 90.00°, β = 90.00°, γ = 90.00°
Fractional positions:
Y 0.000 0.000 0.000
Ho 0.000 0.000 0.500
Ho 0.500 0.500 0.000
Ho 0.500 0.500 0.500
Zn 0.000 0.500 0.252
Zn 0.000 0.500 0.748
Zn 0.500 0.000 0.252
Zn 0.500 0.000 0.748

Density = 7.78 g/cm3
Space-group type = No. 123
Energy of formation from the pure elements = -2.8 eV/f.u.

***

No. 17
Y2HoZn3: relaxed, PBE.

a = 3.573 Å, b = 3.573 Å, c = 10.719 Å
α = 90.00°, β = 90.00°, γ = 90.00°
Fractional positions:
Y 0.000 0.000 0.168
Y 0.000 0.000 0.832
Ho 0.000 0.000 0.500
Zn 0.500 0.500 0.000
Zn 0.500 0.500 0.336
Zn 0.500 0.500 0.664

Density = 6.54 g/cm3
Space-group type = No. 123
Energy of formation from the pure elements = -2.1 eV/f.u.

***

No. 18
Y4HoZn: relaxed, PBE.

a = 3.567 Å, b = 3.567 Å, c = 13.746 Å
α = 90.00°, β = 90.00°, γ = 90.00°
Fractional positions:
Y 0.000 0.000 0.129
Y 0.000 0.000 0.871
Y 0.500 0.500 0.319
Y 0.500 0.500 0.681
Ho 0.000 0.000 0.500
Zn 0.500 0.500 0.000

Density = 5.56 g/cm3
Space-group type = No. 123
Polymorph energy (0 for the lowest one) = 0.00 eV per formula unit
Energy of formation from the pure elements = -0.6 eV/f.u.

***

No. 19
Y4HoZn: relaxed, PBE.

a = 8.109 Å, b = 8.109 Å, c = 6.244 Å
α = 100.22°, β = 100.22°, γ = 113.91°
Fractional positions:
Y 0.079 0.714 0.949
Y 0.170 0.384 0.628
Y 0.286 0.921 0.551
Y 0.384 0.170 0.128
Y 0.616 0.830 0.872
Y 0.714 0.079 0.449
Y 0.830 0.616 0.372
Y 0.921 0.286 0.051
Ho 0.401 0.599 0.250
Ho 0.599 0.401 0.750
Zn 0.001 0.999 0.750
Zn 0.999 0.001 0.250

Density = 5.48 g/cm3
Space-group type = No. 15
Polymorph energy (0 for the lowest one) = 0.60 eV per formula unit
Energy of formation from the pure elements = 0.0 eV/f.u.

***

No. 20
YHoZn2: relaxed, PBE.

a = 5.035 Å, b = 5.035 Å, c = 3.582 Å
α = 90.00°, β = 90.00°, γ = 90.00°
Fractional positions:
Y 0.000 0.000 0.000
Ho 0.500 0.500 0.000
Zn 0.000 0.500 0.500
Zn 0.500 0.000 0.500

Density = 7.03 g/cm3
Space-group type = No. 123
Polymorph energy (0 for the lowest one) = 0.02 eV per formula unit
Energy of formation from the pure elements = -1.4 eV/f.u.